Computed, not measured: crystalline Cs4NpU3Se12 at its relaxed geometry at the PBE level of DFT.

```
20
Lattice="-0.735 -7.817 5.408 6.990 -1.190 -6.372 1.982 7.512 5.525" Properties=species:S:1:pos:R:3 pbc="T T T"
Se 6.050 0.909 -0.665
Se 2.867 1.428 5.255
Se 1.583 -2.280 -0.244
Se 2.271 1.600 -0.214
Se 0.931 -0.228 8.166
Se 6.701 4.722 -0.633
Se 5.371 -2.923 -0.694
Se 4.672 -6.727 -0.720
Se 0.316 -0.077 2.767
Se 4.798 3.085 2.310
Se 3.440 -4.580 2.251
Se 2.187 -2.404 5.226
U 0.623 -0.152 5.467
U 3.128 -4.503 -0.482
U 4.486 3.161 -0.424
Cs 4.119 -0.747 2.280
Cs 0.991 3.756 2.763
Cs -0.367 -3.908 2.704
Cs 3.495 -0.595 -3.186
Np 0.000 0.000 0.000
```

Size of the total moment, μB per atom: 0.25
Space group: Im-3m (229)
Raw formation energy, eV/atom: -1.177


Computed, not measured: crystalline Cs3NpU2Se9 at its relaxed geometry at the PBE level of DFT.

```
15
Lattice="7.782 0.000 0.000 -3.891 6.739 0.000 0.000 0.000 9.529" Properties=species:S:1:pos:R:3 pbc="T T T"
Cs 3.891 2.246 3.182
Cs 0.000 4.493 6.347
Cs 0.000 0.000 0.000
U 0.000 4.493 1.594
U 3.891 2.246 7.935
Se 0.000 2.270 3.156
Se 1.945 3.370 0.000
Se 1.925 5.604 3.156
Se -1.925 5.604 3.156
Se 3.891 4.469 6.373
Se 5.816 1.135 6.373
Se -1.945 3.370 0.000
Se 1.966 1.135 6.373
Se 3.891 0.000 0.000
Np 0.000 0.000 4.765
```

Size of the total moment, μB per atom: 0.27
Space group: P-3m1 (164)
Raw formation energy, eV/atom: -1.168


Computed, not measured: crystalline Cs2NpU2Se6 at its relaxed geometry at the PBE level of DFT.

```
11
Lattice="7.293 -0.027 0.068 -3.628 6.327 0.068 -1.295 -2.225 8.554" Properties=species:S:1:pos:R:3 pbc="T T T"
Se 0.577 5.224 2.821
Se -1.885 0.992 5.870
Se 4.256 3.083 2.821
Se 1.769 3.041 5.940
Se 0.602 1.034 2.750
Se 1.794 -1.149 5.870
Cs -1.814 5.272 0.068
Cs 5.479 1.029 0.068
Np -0.647 -1.113 4.277
U -0.630 3.094 4.345
U 3.001 0.981 4.345
```

Size of the total moment, μB per atom: 0.82
Space group: C2/m (12)
Raw formation energy, eV/atom: -1.254


Q: Which formula does entry 3 have?
A: Cs2NpU2Se6